{"formula": "K2ReSb", "functional": "PBE-GGA", "state": "relaxed", "dos_ef_per_ev_atom": 1.059, "sg": "R-3m (166)", "formation_energy_uncorrected_ev_per_atom": 1.05, "lattice": [[1.5562, 0.8985, 11.9173], [-1.5562, 0.8985, 11.9173], [0.0000, -1.7970, 11.9173]], "species": ["K", "K", "Re", "Sb"], "fractional_positions": [[0.2474, 0.2474, 0.2474], [0.7526, 0.7526, 0.7526], [0.5000, 0.5000, 0.5000], [0.0000, 0.0000, 0.0000]]}